(1)
This record from Alexandria via LeMat-Bulk describes CaCo2Se after structural relaxation. The functional is PBE.

Lattice parameters (Å, degrees): 5.4579 5.4579 5.4579 143.98 133.16 60.47
Closest atoms and distances in Å follow each position.
Sites, in units of the cell vectors:
1 Se 0.7500 0.2500 0.5000  4 Co 2.71, 4 Ca 2.75
2 Co 0.9751 0.9751 0.0000  2 Se 2.71, 4 Co 2.79, 2 Ca 3.03
3 Co 0.5249 0.5249 0.0000  2 Se 2.71, 4 Co 2.79, 2 Ca 3.03
4 Ca 0.2500 0.7500 0.5000  4 Se 2.75, 4 Co 3.03

Computed properties:
E_tot = -4.81 eV per atom
Density of states at the Fermi level = 5.71 states/eV/cell
Calculated density = 5.70 Mg/m³
Energy relative to the elements, uncorrected = 118 meV/atom
Total magnetic moment = 0.780 μB per atom


(2)
This record from Alexandria via LeMat-Bulk describes CaCo2Se after structural relaxation. The functional is PBE.

Lattice parameters (Å, degrees): 4.0157 4.0157 5.6464 69.19 69.19 60.05
Closest atoms and distances in Å follow each position.
Sites, in units of the cell vectors:
1 Ca 0.2569 0.2569 0.2297  4 Se 3.08-3.12, 7 Co 3.08-3.16
2 Co 0.7292 0.7292 0.8119  3 Co 2.32, 3 Se 2.51-2.52
3 Co 0.0549 0.0549 0.8352  3 Co 2.32, 3 Se 2.56
4 Se 0.4590 0.4590 0.6231  6 Co 2.51-2.56

Computed properties:
E_tot = -5.21 eV per atom
Density of states at the Fermi level = 4.23 states/eV/cell
Calculated density = 5.47 Mg/m³
Energy relative to the elements, uncorrected = -282 meV/atom
Total magnetic moment = 0.585 μB per atom


(3)
This record from Alexandria via LeMat-Bulk describes CaCo2Se after structural relaxation. The functional is PBE.

Lattice parameters (Å, degrees): 4.0045 4.1594 4.7399 89.95 90.00 90.00
Closest atoms and distances in Å follow each position.
Sites, in units of the cell vectors:
1 Co 0.0000 0.2503 0.5171  1 Co 2.21, 2 Se 2.37
2 Co 0.0000 0.2497 0.9829  1 Co 2.21, 2 Se 2.37
3 Se 0.5000 0.2500 0.2500  4 Co 2.37
4 Ca 0.5000 0.7500 0.7500  8 Co 3.09, 4 Se 3.15

Computed properties:
E_tot = -5.05 eV per atom
Density of states at the Fermi level = 4.61 states/eV/cell
Calculated density = 4.98 Mg/m³
Energy relative to the elements, uncorrected = -128 meV/atom
Total magnetic moment = 0.654 μB per atom


Number 3 is which compound? CaCo2Se


Please write out number 2 again, unchanged.
This record from Alexandria via LeMat-Bulk describes CaCo2Se after structural relaxation. The functional is PBE.

Lattice parameters (Å, degrees): 4.0157 4.0157 5.6464 69.19 69.19 60.05
Closest atoms and distances in Å follow each position.
Sites, in units of the cell vectors:
1 Ca 0.2569 0.2569 0.2297  4 Se 3.08-3.12, 7 Co 3.08-3.16
2 Co 0.7292 0.7292 0.8119  3 Co 2.32, 3 Se 2.51-2.52
3 Co 0.0549 0.0549 0.8352  3 Co 2.32, 3 Se 2.56
4 Se 0.4590 0.4590 0.6231  6 Co 2.51-2.56

Computed properties:
E_tot = -5.21 eV per atom
Density of states at the Fermi level = 4.23 states/eV/cell
Calculated density = 5.47 Mg/m³
Energy relative to the elements, uncorrected = -282 meV/atom
Total magnetic moment = 0.585 μB per atom